Below is a relaxed structure of TaSi2Br, with properties calculated at the PBE level.

## Properties
- total magnetic moment (μB per formula unit) = 0.0
- space group = P4/mmm (123)
- calculated volume (Å³/atom) = 18.50
- energy relative to the lowest polymorph listed for this composition (meV/atom) = 181
- E_form (uncorrected) (meV per atom) = 201

Structure (POSCAR):
```
TaSi2Br
1.0
-2.446 -0.724 2.195
1.336 -3.051 0.484
3.661 2.374 4.862
Ta Si Br
1 2 1
direct
0.500 0.500 0.250
0.000 0.000 0.441
0.000 0.000 0.059
0.500 0.500 0.750
```

=====

Below is a relaxed structure of ScBeAl2, with properties calculated at the PBE level.

## Properties
- energy of formation (eV per atom) = 0.25
- total magnetic moment (μB per formula unit) = 0.0
- space group = I-42d (122)
- calculated volume (Å³/atom) = 17.85

Structure (POSCAR):
```
ScBeAl2
1.0
-1.914 1.243 -3.126
-1.822 -3.406 -0.238
-8.835 2.254 3.911
Al Be Sc
4 2 2
direct
0.875 0.861 0.750
0.375 0.389 0.750
0.139 0.625 0.250
0.611 0.125 0.250
0.250 0.750 0.500
0.500 0.500 0.000
0.000 0.000 0.000
0.750 0.250 0.500
```